1.
CrOsBr2 | PBE | optimized geometry

Cell lengths 6.1947, 8.6000, 3.3794 Å; angles 90.00, 119.15, 90.00 degrees
Space group C2/m (No. 12)
Unique sites:
Cr 0.0000 0.0000 0.0000 x2
Os 0.0000 0.5000 0.0000 x2
Br 0.2500 0.2500 0.0000 x4

* crystal system: monoclinic
* total DFT energy (no corrections): -20.1 eV/f.u.
* ΔE_f (raw): 1019 meV/atom
* distance to the lowest polymorph of the same formula: 0.803 eV per atom
* total magnetization: 6.06 Bohr magnetons per cell

=====

2.
CrOs2Br | PBE | optimized geometry

Cell lengths 2.8640, 2.8640, 7.6389 Å; angles 90.00, 90.00, 90.00 degrees
Space group P4mm (No. 99)
Unique sites:
Cr 0.0000 0.0000 0.0000 x1
Os 0.0000 0.0000 0.4649 x1
Os 0.5000 0.5000 0.2499 x1
Br 0.5000 0.5000 0.7888 x1

* crystal system: tetragonal
* total DFT energy (no corrections): -30.8 eV/f.u.
* ΔE_f (raw): 731 meV/atom
* distance to the lowest polymorph of the same formula: 0.052 eV per atom
* total magnetization: 1.83 Bohr magnetons per cell

=====

> What is the distance to the lowest polymorph of the same formula in the first record?

0.803 eV per atom

=====

Please write out number 2 again, unchanged.
CrOs2Br | PBE | optimized geometry

Cell lengths 2.8640, 2.8640, 7.6389 Å; angles 90.00, 90.00, 90.00 degrees
Space group P4mm (No. 99)
Unique sites:
Cr 0.0000 0.0000 0.0000 x1
Os 0.0000 0.0000 0.4649 x1
Os 0.5000 0.5000 0.2499 x1
Br 0.5000 0.5000 0.7888 x1

* crystal system: tetragonal
* total DFT energy (no corrections): -30.8 eV/f.u.
* ΔE_f (raw): 731 meV/atom
* distance to the lowest polymorph of the same formula: 0.052 eV per atom
* total magnetization: 1.83 Bohr magnetons per cell